{"formula": "Cs2SbI6O", "functional": "GGA-PBE", "state": "relaxed", "lattice_angstrom": [[-4.690, 4.690, 5.095], [4.690, -4.690, 5.095], [4.690, 4.690, -5.095]], "species": ["Cs", "Cs", "Sb", "I", "I", "I", "I", "I", "I", "O"], "fractional_positions": [[0.250, 0.750, 0.500], [0.750, 0.250, 0.500], [0.000, 0.000, 0.000], [0.227, 0.227, 0.454], [0.227, 0.773, 0.000], [0.292, 0.292, 0.000], [0.708, 0.708, 0.000], [0.773, 0.227, 0.000], [0.773, 0.773, 0.546], [0.500, 0.500, 0.000]], "magnetic_moment_mub_per_fu": 1.0, "spacegroup": "I4/mmm, No. 139", "e_form_raw_ev_per_atom": -0.63}